No. 1
First-principles (PBE) data for a geometry-optimized Y5Cd4 structure, as listed in the Alexandria database.

Cell: 9.2832 9.2832 6.6602 Å, 90.00 90.00 60.00°
Fractional positions:
Cd: 0.3696 0.0000 0.2500
Y: 0.3333 0.3333 0.0000
Cd: 0.0000 0.6304 0.2500
Cd: 0.6304 0.3696 0.2500
Y: 0.6667 0.6667 0.5000
Y: 0.0000 0.7033 0.7500
Y: 0.7033 0.0000 0.2500
Cd: 0.0000 0.0000 0.0000
Y: 0.3333 0.3333 0.5000
Y: 0.0000 0.2967 0.2500
Y: 0.6667 0.6667 0.0000
Cd: 0.0000 0.3696 0.7500
Cd: 0.3696 0.6304 0.7500
Y: 0.7033 0.2967 0.7500
Cd: 0.0000 0.0000 0.5000
Cd: 0.6304 0.0000 0.7500
Y: 0.2967 0.7033 0.2500
Y: 0.2967 0.0000 0.7500

Offset from the most stable computed form in kcal/mol of atoms: 0.00
Space group: No. 193
Calculated formation energy in eV/atom: -0.249

=====

No. 2
First-principles (PBE) data for a geometry-optimized Y3Cd7 structure, as listed in the Alexandria database.

Cell: 4.9214 6.4501 8.7185 Å, 112.25 106.39 90.00°
Fractional positions:
Y: 0.7949 0.2207 0.5897
Y: 0.0000 0.0000 0.0000
Cd: 0.6087 0.3677 0.2173
Cd: 0.3913 0.6323 0.7827
Cd: 0.0000 0.5000 0.0000
Cd: 0.8018 0.7159 0.6036
Cd: 0.4100 0.1586 0.8200
Y: 0.2051 0.7793 0.4103
Cd: 0.5900 0.8414 0.1800
Cd: 0.1982 0.2841 0.3964

Space group: No. 12
Calculated formation energy in eV/atom: -0.281

=====

No. 3
First-principles (PBE) data for a geometry-optimized Y13Cd2 structure, as listed in the Alexandria database.

Cell: 6.7310 8.6060 8.9499 Å, 113.61 78.92 97.78°
Fractional positions:
Cd: 0.9400 0.7669 0.6207
Y: 0.6940 0.6582 0.0290
Y: 0.3672 0.5890 0.3893
Y: 0.6328 0.4110 0.6107
Y: 0.3060 0.3418 0.9710
Y: 0.4953 0.8577 0.7953
Y: 0.8012 0.2311 0.8501
Y: 0.7519 0.9431 0.4234
Y: 0.5047 0.1423 0.2047
Y: 0.1215 0.5203 0.7370
Y: 0.0000 0.0000 0.0000
Y: 0.8785 0.4797 0.2630
Y: 0.2481 0.0569 0.5766
Y: 0.1988 0.7689 0.1499
Cd: 0.0600 0.2331 0.3793

Space group: No. 2
Calculated formation energy in eV/atom: -0.053

=====

No. 4
First-principles (PBE) data for a geometry-optimized Y3Cd structure, as listed in the Alexandria database.

Cell: 6.0146 6.0146 6.0146 Å, 132.69 132.69 69.14°
Fractional positions:
Y: 0.7500 0.2500 0.5000
Y: 0.2500 0.7500 0.5000
Cd: 0.0000 0.0000 0.0000
Y: 0.5000 0.5000 0.0000

Offset from the most stable computed form in kcal/mol of atoms: 2.10
Space group: No. 139
Calculated formation energy in eV/atom: -0.073

=====

No. 5
First-principles (PBE) data for a geometry-optimized Y4Cd structure, as listed in the Alexandria database.

Cell: 5.6704 5.6704 5.6704 Å, 90.00 90.00 90.00°
Fractional positions:
Y: 0.0000 0.0000 0.0000
Y: 0.5000 0.5000 0.0000
Y: 0.5000 0.0000 0.5000
Cd: 0.5000 0.5000 0.5000
Y: 0.0000 0.5000 0.5000

Offset from the most stable computed form in kcal/mol of atoms: 9.73
Space group: No. 221
Calculated formation energy in eV/atom: 0.374

=====

No. 6
First-principles (PBE) data for a geometry-optimized Y3Cd structure, as listed in the Alexandria database.

Cell: 5.4710 5.4710 5.4710 Å, 60.00 60.00 60.00°
Fractional positions:
Y: 0.7500 0.7500 0.7500
Y: 0.2500 0.2500 0.2500
Y: 0.5000 0.5000 0.5000
Cd: 0.0000 0.0000 0.0000

Offset from the most stable computed form in kcal/mol of atoms: 3.53
Space group: No. 225
Calculated formation energy in eV/atom: -0.010

=====

No. 7
First-principles (PBE) data for a geometry-optimized YCd3 structure, as listed in the Alexandria database.

Cell: 5.8705 5.8705 5.8705 Å, 90.00 90.00 90.00°
Fractional positions:
Cd: 0.5000 0.0000 0.2500
Y: 0.0000 0.0000 0.0000
Cd: 0.0000 0.2500 0.5000
Cd: 0.0000 0.7500 0.5000
Cd: 0.2500 0.5000 0.0000
Y: 0.5000 0.5000 0.5000
Cd: 0.7500 0.5000 0.0000
Cd: 0.5000 0.0000 0.7500

Space group: No. 223
Calculated formation energy in eV/atom: -0.102

=====

No. 8
First-principles (PBE) data for a geometry-optimized Y3Cd structure, as listed in the Alexandria database.

Cell: 3.6163 3.6163 9.0601 Å, 90.00 90.00 90.00°
Fractional positions:
Y: 0.0000 0.0000 0.5000
Cd: 0.0000 0.0000 0.0000
Y: 0.5000 0.5000 0.2242
Y: 0.5000 0.5000 0.7758

Offset from the most stable computed form in kcal/mol of atoms: 0.15
Space group: No. 123
Calculated formation energy in eV/atom: -0.157

=====

No. 9
First-principles (PBE) data for a geometry-optimized Y3Cd structure, as listed in the Alexandria database.

Cell: 6.8056 8.5664 5.1993 Å, 90.00 90.00 129.00°
Fractional positions:
Y: 0.9406 0.6784 0.5000
Cd: 0.8142 0.4071 0.0000
Y: 0.3860 0.1930 0.5000
Cd: 0.5191 0.7596 0.5000
Y: 0.9473 0.9737 0.0000
Y: 0.3927 0.9045 0.0000
Y: 0.3927 0.4883 0.0000
Y: 0.9406 0.2622 0.5000

Offset from the most stable computed form in kcal/mol of atoms: 0.82
Space group: No. 63
Calculated formation energy in eV/atom: -0.128

=====

No. 10
First-principles (PBE) data for a geometry-optimized Y3Cd structure, as listed in the Alexandria database.

Cell: 5.7559 5.7559 5.7559 Å, 90.00 90.00 90.00°
Fractional positions:
Y: 0.0000 0.0000 0.5000
Y: 0.5000 0.0000 0.0000
Cd: 0.0000 0.0000 0.0000
Y: 0.0000 0.5000 0.0000

Offset from the most stable computed form in kcal/mol of atoms: 22.62
Space group: No. 221
Calculated formation energy in eV/atom: 0.817

=====

No. 11
First-principles (PBE) data for a geometry-optimized YCd3 structure, as listed in the Alexandria database.

Cell: 9.7656 9.7656 9.7656 Å, 20.91 20.91 20.91°
Fractional positions:
Y: 0.7500 0.7500 0.7500
Cd: 0.5048 0.5048 0.5048
Cd: 0.2500 0.2500 0.2500
Cd: 0.9952 0.9952 0.9952

Space group: No. 166
Calculated formation energy in eV/atom: -0.066

=====

No. 12
First-principles (PBE) data for a geometry-optimized Y3Cd structure, as listed in the Alexandria database.

Cell: 3.6006 11.0065 3.6006 Å, 99.41 120.00 90.00°
Fractional positions:
Y: 0.5000 0.5000 0.0000
Y: 0.2561 0.7684 0.5123
Cd: 0.0000 0.0000 0.0000
Y: 0.7439 0.2316 0.4877

Offset from the most stable computed form in kcal/mol of atoms: 2.00
Space group: No. 166
Calculated formation energy in eV/atom: -0.077

=====

No. 13
First-principles (PBE) data for a geometry-optimized Y3Cd structure, as listed in the Alexandria database.

Cell: 3.6480 3.6480 10.6184 Å, 90.00 90.00 120.00°
Fractional positions:
Y: 0.0000 0.0000 0.5000
Cd: 0.0000 0.0000 0.0000
Y: 0.3333 0.6667 0.2335
Y: 0.3333 0.6667 0.7665

Offset from the most stable computed form in kcal/mol of atoms: 2.51
Space group: No. 187
Calculated formation energy in eV/atom: -0.055

=====

No. 14
First-principles (PBE) data for a geometry-optimized Y3Cd structure, as listed in the Alexandria database.

Cell: 3.6071 4.7403 6.8324 Å, 90.00 90.00 90.00°
Fractional positions:
Y: 0.5000 0.5000 0.7584
Cd: 0.0000 0.0000 0.0000
Y: 0.0000 0.0000 0.5000
Y: 0.5000 0.5000 0.2416

Offset from the most stable computed form in kcal/mol of atoms: 1.81
Space group: No. 47
Calculated formation energy in eV/atom: -0.085

=====

No. 15
First-principles (PBE) data for a geometry-optimized Y4Cd3 structure, as listed in the Alexandria database.

Cell: 5.9380 5.9380 6.2726 Å, 90.00 90.00 120.00°
Fractional positions:
Y: 0.6667 0.3333 0.5000
Y: 0.0000 0.0000 0.2505
Cd: 0.5000 0.5000 0.0000
Cd: 0.0000 0.5000 0.0000
Cd: 0.5000 0.0000 0.0000
Y: 0.0000 0.0000 0.7495
Y: 0.3333 0.6667 0.5000

Offset from the most stable computed form in kcal/mol of atoms: 0.67
Space group: No. 191
Calculated formation energy in eV/atom: -0.164

=====

No. 16
First-principles (PBE) data for a geometry-optimized YCd3 structure, as listed in the Alexandria database.

Cell: 3.5560 3.5560 7.6363 Å, 90.00 90.00 90.00°
Fractional positions:
Cd: 0.0000 0.0000 0.5174
Y: 0.5000 0.5000 0.2500
Cd: 0.5000 0.5000 0.7500
Cd: 0.0000 0.0000 0.9826

Space group: No. 123
Calculated formation energy in eV/atom: -0.193

=====

No. 17
First-principles (PBE) data for a geometry-optimized Y5Cd6 structure, as listed in the Alexandria database.

Cell: 5.3055 7.2811 8.9909 Å, 113.89 107.17 89.99°
Fractional positions:
Y: 0.6812 0.1812 0.3624
Y: 0.3188 0.8188 0.6376
Cd: 0.8470 0.0678 0.6941
Cd: 0.4997 0.7822 0.0000
Cd: 0.5003 0.2178 0.0000
Cd: 0.1530 0.9322 0.3059
Cd: 0.1529 0.3737 0.3059
Cd: 0.8471 0.6263 0.6941
Y: 0.3389 0.3389 0.6778
Y: 0.6611 0.6611 0.3222
Y: 0.0000 0.5000 0.0000

Space group: No. 71
Calculated formation energy in eV/atom: -0.233

=====

No. 18
First-principles (PBE) data for a geometry-optimized YCd3 structure, as listed in the Alexandria database.

Cell: 5.3640 5.3640 12.7472 Å, 148.06 148.06 37.04°
Fractional positions:
Cd: 0.0000 0.0000 0.7500
Cd: 0.9789 0.9789 0.9840
Cd: 0.0211 0.0211 0.5160
Y: 0.0000 0.0000 0.2500

Space group: No. 12
Calculated formation energy in eV/atom: -0.166

=====

No. 19
First-principles (PBE) data for a geometry-optimized YCd3 structure, as listed in the Alexandria database.

Cell: 3.4678 3.4678 9.8011 Å, 90.00 90.00 120.00°
Fractional positions:
Y: 0.3333 0.6667 0.7500
Cd: 0.0000 0.0000 0.4888
Cd: 0.0000 0.0000 0.0112
Cd: 0.3333 0.6667 0.2500

Space group: No. 187
Calculated formation energy in eV/atom: -0.070

=====

No. 20
First-principles (PBE) data for a geometry-optimized YCd3 structure, as listed in the Alexandria database.

Cell: 7.3386 4.9457 9.6094 Å, 90.00 163.71 90.00°
Fractional positions:
Cd: 0.3407 0.0000 0.8403
Cd: 0.1593 0.0000 0.1597
Cd: 0.7500 0.5000 0.0000
Y: 0.2500 0.5000 0.0000

Space group: No. 10
Calculated formation energy in eV/atom: -0.199